No. 1
# PmPaS2

Crystalline PmPaS2 at its relaxed geometry (GGA-PBE, Alexandria via LeMat-Bulk).

Cell lengths 3.4454, 3.4454, 6.8940 Å; angles 90.00, 90.00, 90.00 degrees
Element x y z (fractional)
Pm  0.0000  0.0000  0.0000
Pa  0.0000  0.0000  0.5000
S  0.5000  0.5000  0.2634
S  0.5000  0.5000  0.7366

Calculated values
ΔE_f (raw), eV/atom: -1.43
Space group: P4/mmm, No. 123
Volume, Å³ per cell: 81.8
Total energy, eV per atom: -7.05
Relative energy among the computed polymorphs, eV/atom: 0.355
Mass density, g/cm³: 8.9

---

No. 2
# Pm2Pa2S7

Crystalline Pm2Pa2S7 at its relaxed geometry (GGA-PBE, Alexandria via LeMat-Bulk).

Cell lengths 8.5617, 8.5617, 8.5617 Å; angles 153.24, 67.48, 119.35 degrees
Element x y z (fractional)
Pm  0.2393  0.0000  0.2393
Pm  0.7607  0.0000  0.7607
Pa  0.2981  0.7981  0.5000
Pa  0.7464  0.7464  0.0000
S  0.0192  0.7003  0.3188
S  0.0719  0.0719  0.0000
S  0.3689  0.4753  0.8936
S  0.3815  0.7003  0.6812
S  0.5817  0.4753  0.1064
S  0.6721  0.3033  0.3688
S  0.9345  0.3033  0.6312

Calculated values
ΔE_f (raw), eV/atom: -1.83
Space group: Imm2, No. 44
Volume, Å³ per cell: 243.9
Total energy, eV per atom: -7.04
Relative energy among the computed polymorphs, eV/atom: 0.000
Mass density, g/cm³: 6.6

---

The lowest mass density belongs to which entry? Pm2Pa2S7

---

What is the ΔE_f (raw) in the first record? -1.43 eV/atom